No. 1
A plane-wave DFT calculation with PBE-GGA was carried out for a relaxed LiLuScTc crystal.

Calculated values
* ΔE_f: -0.100 eV per atom
* DOS at the Fermi energy: 3.83 states/eV/f.u.
* space group: F-43m (216)
* calculated density: 7.13 g cm⁻³

Lattice parameters (Å, degrees): 4.748 4.748 4.748 60.00 60.00 60.00
Atoms (fractional coordinates):
Li1 0.000 0.000 0.000
Lu1 0.250 0.250 0.250
Sc1 0.750 0.750 0.750
Tc1 0.500 0.500 0.500

No. 2
A plane-wave DFT calculation with PBE-GGA was carried out for a relaxed LiTmLuSc crystal.

Calculated values
* ΔE_f: 0.167 eV per atom
* DOS at the Fermi energy: 3.62 states/eV/f.u.
* space group: F-43m (216)
* calculated density: 6.39 g cm⁻³

Lattice parameters (Å, degrees): 5.260 5.260 5.260 60.00 60.00 60.00
Atoms (fractional coordinates):
Li1 0.000 0.000 0.000
Tm1 0.750 0.750 0.750
Lu1 0.250 0.250 0.250
Sc1 0.500 0.500 0.500

No. 3
A plane-wave DFT calculation with PBE-GGA was carried out for a relaxed LiYLuSc crystal.

Calculated values
* ΔE_f: 0.163 eV per atom
* DOS at the Fermi energy: 3.79 states/eV/f.u.
* space group: F-43m (216)
* calculated density: 4.98 g cm⁻³

Lattice parameters (Å, degrees): 5.301 5.301 5.301 60.00 60.00 60.00
Atoms (fractional coordinates):
Li1 0.000 0.000 0.000
Y1 0.750 0.750 0.750
Lu1 0.250 0.250 0.250
Sc1 0.500 0.500 0.500

No. 4
A plane-wave DFT calculation with PBE-GGA was carried out for a relaxed LiLuScZn crystal.

Calculated values
* ΔE_f: -0.111 eV per atom
* DOS at the Fermi energy: 5.33 states/eV/f.u.
* space group: F-43m (216)
* calculated density: 5.83 g cm⁻³

Lattice parameters (Å, degrees): 4.900 4.900 4.900 60.00 60.00 60.00
Atoms (fractional coordinates):
Li1 0.000 0.000 0.000
Lu1 0.750 0.750 0.750
Sc1 0.250 0.250 0.250
Zn1 0.500 0.500 0.500

The records above yield calculated total energy values of -5.883; -4.142; -4.644; -3.621 eV/atom, respectively.